No. 1
PBE-GGA TbPr4Y6, optimized geometry; energy relative to the lowest polymorph listed for this composition = 0.00 eV per formula unit; DOS(E_F) = 42.0 states/eV/cell; energy relative to the elements = 0.11 eV per atom; energy = -5.57 eV per atom; total magnetization = 0.001 μB per cell; symmetry = Cmcm; V = 745 Å³ per cell
1.0
-3.938 4.059 1.382
2.228 -3.376 4.004
19.214 17.312 3.903
Tb Y Pr
2 12 8
Cartesian
14.506 12.489 4.652 Tb
2.999 5.506 4.636 Tb
-1.969 2.029 0.691 Y
0.232 3.033 4.016 Y
6.162 5.095 2.594 Y
13.909 15.213 7.216 Y
5.054 3.029 5.505 Y
7.638 10.685 2.642 Y
3.595 2.783 2.072 Y
11.343 12.900 6.695 Y
12.450 14.966 3.784 Y
17.272 14.962 5.272 Y
5.759 8.012 5.139 Y
11.746 9.983 4.150 Y
8.685 10.543 6.047 Pr
7.496 5.270 5.882 Pr
14.906 17.138 4.401 Pr
8.819 7.452 3.242 Pr
2.598 0.857 4.887 Pr
16.554 17.633 7.645 Pr
0.950 0.362 1.643 Pr
10.008 12.725 3.406 Pr


No. 2
PBE-GGA LaAs2, optimized geometry; energy relative to the elements = -1.07 eV per atom; energy = -5.81 eV per atom; total magnetization = 0.000 μB per cell; symmetry = Cc; V = 611 Å³ per cell
1.0
9.747 -0.002 0.000
-1.151 9.679 0.000
4.278 4.816 6.477
La As
8 16
Cartesian
7.083 8.890 2.473 La
3.285 2.792 0.490 La
10.070 4.725 5.075 La
4.524 5.999 3.728 La
5.070 11.855 4.404 La
10.132 10.489 5.712 La
9.036 4.025 1.165 La
1.366 8.149 1.836 La
6.188 1.462 1.359 As
5.332 8.795 5.010 As
9.301 7.751 4.368 As
1.962 5.001 2.373 As
2.128 12.872 4.857 As
2.371 10.847 3.231 As
7.738 5.946 3.490 As
2.862 8.725 4.598 As
10.393 1.222 1.618 As
4.462 7.742 1.129 As
6.874 4.945 5.611 As
5.967 3.924 1.771 As
2.854 5.977 0.251 As
12.631 6.041 6.470 As
8.088 11.719 3.677 As
8.545 7.005 0.438 As


No. 3
PBE-GGA TbNd3S6, optimized geometry; DOS(E_F) = 0.0 states/eV/cell; energy = -6.42 eV per atom; total magnetization = 0.000 μB per cell; symmetry = R-3; V = 563 Å³ per cell
1.0
8.260 -0.011 -0.011
-0.190 8.258 -0.011
-0.190 -0.195 8.255
S Nd Tb
12 6 2
Cartesian
7.473 5.659 0.715 S
7.452 0.568 2.559 S
4.646 6.627 3.803 S
0.427 7.484 5.674 S
4.325 3.328 1.523 S
2.383 7.505 0.624 S
3.233 1.425 4.429 S
3.554 4.724 6.710 S
0.406 2.393 7.517 S
1.354 4.356 3.361 S
5.496 0.547 7.608 S
6.525 3.696 4.871 S
7.411 6.109 3.555 Nd
0.468 1.943 4.677 Nd
3.257 7.484 6.186 Nd
5.946 3.387 7.619 Nd
4.622 0.568 2.046 Nd
1.933 4.665 0.613 Nd
0.000 0.000 0.000 Tb
3.940 4.026 4.116 Tb


No. 4
PBE-GGA Li2Sm2ErIn2, optimized geometry; DOS(E_F) = 5.8 states/eV/cell; energy relative to the elements = -0.23 eV per atom; energy = -3.56 eV per atom; total magnetization = 0.000 μB per cell; symmetry = R-3m; V = 182 Å³ per cell
1.0
4.860 0.000 0.000
2.430 4.208 0.000
2.430 1.403 8.912
Li Er Sm In
2 1 2 2
Cartesian
4.860 2.806 7.379 Li
4.860 2.806 1.533 Li
0.000 0.000 0.000 Er
7.289 4.208 3.389 Sm
2.430 1.403 5.523 Sm
7.289 4.208 7.091 In
2.430 1.403 1.821 In


No. 5
PBE-GGA Y4GaPd, optimized geometry; DOS(E_F) = 14.3 states/eV/cell; energy relative to the elements = -0.46 eV per atom; energy = -6.14 eV per atom; total magnetization = 0.001 μB per cell; symmetry = C2/c; V = 324 Å³ per cell
1.0
-2.068 5.202 2.698
-5.567 -1.257 -5.409
0.324 -5.672 5.810
Y Pd Ga
8 2 2
Cartesian
-3.987 -3.937 2.525 Y
-5.742 -2.960 -0.495 Y
-2.052 -1.371 1.053 Y
-6.261 3.366 -0.768 Y
-5.259 -0.356 2.047 Y
-1.050 -5.093 3.868 Y
-1.569 1.233 3.595 Y
-3.324 2.210 0.575 Y
-6.782 -3.015 2.410 Pd
-0.529 1.288 0.690 Pd
-3.096 -1.431 3.964 Ga
-4.215 -0.296 -0.864 Ga


No. 6
PBE-GGA NaInAg2Cl, optimized geometry; energy relative to the lowest polymorph listed for this composition = 0.15 eV per formula unit; DOS(E_F) = 2.0 states/eV/cell; energy = -2.17 eV per atom; total magnetization = 0.000 μB per cell; symmetry = P4/mmm; V = 145 Å³ per cell
1.0
5.394 0.000 0.000
0.000 4.977 0.000
0.000 0.000 5.394
In Ag Cl Na
1 2 1 1
Cartesian
2.697 2.488 2.697 In
2.697 0.000 0.000 Ag
0.000 0.000 2.697 Ag
0.000 2.488 0.000 Cl
0.000 0.000 0.000 Na


No. 7
PBE-GGA K2VAs, optimized geometry; DOS(E_F) = 7.9 states/eV/cell; energy relative to the elements = 0.17 eV per atom; energy = -3.82 eV per atom; total magnetization = 7.152 μB per cell; symmetry = I-42d; V = 384 Å³ per cell
1.0
-0.699 12.553 -0.054
-10.712 -0.569 6.558
-4.441 6.072 5.324
As K V
2 4 2
Cartesian
0.000 0.000 0.000 As
-5.423 12.308 4.261 As
-5.616 9.154 5.212 K
-4.598 15.503 4.347 K
-8.462 12.948 5.379 K
-3.017 11.629 2.107 K
-5.706 5.992 3.252 V
-10.429 5.748 7.567 V


No. 8
PBE-GGA Mg2GaOs, optimized geometry; DOS(E_F) = 3.5 states/eV/cell; energy relative to the elements = 0.09 eV per atom; energy = -4.27 eV per atom; total magnetization = 0.000 μB per cell; symmetry = P4/mmm; V = 65 Å³ per cell
1.0
4.084 0.000 0.000
0.000 3.980 0.000
0.000 0.000 3.980
Ga Os Mg
1 1 2
Cartesian
2.042 1.990 1.990 Ga
2.042 0.000 0.000 Os
0.000 0.000 1.990 Mg
0.000 1.990 0.000 Mg


What did the first record say?
PBE-GGA TbPr4Y6, optimized geometry; energy relative to the lowest polymorph listed for this composition = 0.00 eV per formula unit; DOS(E_F) = 42.0 states/eV/cell; energy relative to the elements = 0.11 eV per atom; energy = -5.57 eV per atom; total magnetization = 0.001 μB per cell; symmetry = Cmcm; V = 745 Å³ per cell
1.0
-3.938 4.059 1.382
2.228 -3.376 4.004
19.214 17.312 3.903
Tb Y Pr
2 12 8
Cartesian
14.506 12.489 4.652 Tb
2.999 5.506 4.636 Tb
-1.969 2.029 0.691 Y
0.232 3.033 4.016 Y
6.162 5.095 2.594 Y
13.909 15.213 7.216 Y
5.054 3.029 5.505 Y
7.638 10.685 2.642 Y
3.595 2.783 2.072 Y
11.343 12.900 6.695 Y
12.450 14.966 3.784 Y
17.272 14.962 5.272 Y
5.759 8.012 5.139 Y
11.746 9.983 4.150 Y
8.685 10.543 6.047 Pr
7.496 5.270 5.882 Pr
14.906 17.138 4.401 Pr
8.819 7.452 3.242 Pr
2.598 0.857 4.887 Pr
16.554 17.633 7.645 Pr
0.950 0.362 1.643 Pr
10.008 12.725 3.406 Pr